This record from Alexandria via LeMat-Bulk describes ScC2Cl after structural relaxation. The functional is GGA-PBE.

Values from the calculation:
Space-group type = I-42d, No. 122
Uncorrected formation energy = 6.951 eV/f.u.

Cell and atoms, written as POSCAR:
```
ScC2Cl
1.0
-2.492 2.492 5.193
2.492 -2.492 5.193
2.492 2.492 -5.193
Sc C Cl
2 4 2
Direct
0.000 0.000 0.000
0.750 0.250 0.500
0.139 0.625 0.014
0.375 0.389 0.514
0.611 0.125 0.986
0.875 0.861 0.486
0.250 0.750 0.500
0.500 0.500 0.000
```